A PBEsol-optimized structure of TlP2Br, computed with meta-GGA SCAN.

Cell and atoms, written as CIF:
```
data_TlP2Br
_chemical_formula_sum 'Tl2 P4 Br2'
_cell_length_a 11.4910
_cell_length_b 3.3995
_cell_length_c 5.0871
_cell_angle_alpha 90.00
_cell_angle_beta 97.58
_cell_angle_gamma 90.00
_space_group_name_H-M_alt 'P 1'
_space_group_IT_number 1
loop_
_space_group_symop_operation_xyz
'x,y,z'
loop_
_atom_site_label
_atom_site_type_symbol
_atom_site_fract_x
_atom_site_fract_y
_atom_site_fract_z
Tl1 Tl 0.0000 0.0000 0.0000
Tl2 Tl 0.5000 0.5000 0.0000
P1 P 0.2332 0.0000 0.1344
P2 P 0.2668 0.5000 0.8656
P3 P 0.7332 0.5000 0.1344
P4 P 0.7668 0.0000 0.8656
Br1 Br 0.0000 0.5000 0.5000
Br2 Br 0.5000 0.0000 0.5000
```

Summary:
ΔE to the lowest computed polymorph, eV per atom: 0.000
E_tot, eV/atom: -28.229
Crystal system: monoclinic
Energy relative to the elements, uncorrected, eV per atom: -0.07